No. 1
## Tc2TePCl (PBE)

Data for an optimized crystal structure of Tc2TePCl.

Unit cell a=4.5027 b=4.5027 c=4.5967 alpha=90.00 beta=90.00 gamma=90.00
With the nearest neighbours (Å) after each atom.
Element x y z (fractional)
Tc: 0.0000 0.5000 0.0000  2 Cl 2.25
Tc: 0.5000 0.0000 0.0000  2 Cl 2.25
Te: 0.0000 0.0000 0.5000  4 P 3.18, 8 Tc 3.22
P: 0.5000 0.5000 0.5000  2 Cl 2.30
Cl: 0.5000 0.5000 0.0000  4 Tc 2.25, 2 P 2.30

## Properties
- space group = P4/mmm, No. 123
- total magnetic moment (μB/atom) = 0.34
- raw total energy (eV per atom) = -4.86
- formation energy (no corrections) (eV/f.u.) = 6.85
- crystal system = tetragonal

---

No. 2
## TlTeS2N (PBE)

Data for an optimized crystal structure of TlTeS2N.

Unit cell a=5.2195 b=5.2195 c=4.0265 alpha=90.00 beta=90.00 gamma=90.00
With the nearest neighbours (Å) after each atom.
Element x y z (fractional)
Tl: 0.0000 0.0000 0.0000  8 S 3.30, 4 N 3.69
Te: 0.5000 0.5000 0.5000  2 N 2.01
S: 0.0000 0.5000 0.5000  2 Te 2.61
S: 0.5000 0.0000 0.5000  2 Te 2.61
N: 0.5000 0.5000 0.0000  2 Te 2.01

## Properties
- space group = P4/mmm, No. 123
- total magnetic moment (μB/atom) = 0.00
- energy above the lowest structure with this stoichiometry (meV per atom) = 0
- raw total energy (eV per atom) = -3.72
- formation energy (no corrections) (eV/f.u.) = 3.49
- crystal system = tetragonal

---

No. 3
## NdSi4Ni2 (PBE)

Data for an optimized crystal structure of NdSi4Ni2.

Unit cell a=16.4116 b=4.0256 c=6.4869 alpha=90.00 beta=90.00 gamma=90.00
With the nearest neighbours (Å) after each atom.
Element x y z (fractional)
Nd: 0.1129 0.2500 0.0011  10 Si 2.99-3.33, 4 Ni 3.19-3.33
Nd: 0.3871 0.7500 0.5011  10 Si 2.99-3.33, 4 Ni 3.19-3.33
Nd: 0.6129 0.2500 0.4989  10 Si 2.99-3.33, 4 Ni 3.19-3.33
Nd: 0.8871 0.7500 0.9989  10 Si 2.99-3.33, 4 Ni 3.19-3.33
Si: 0.0355 0.7500 0.7214  3 Ni 2.41-2.50, 3 Si 2.50-2.63
Si: 0.0899 0.2500 0.4987  4 Ni 2.27-2.41, 1 Si 2.50
Si: 0.1873 0.7500 0.3401  4 Ni 2.35-2.52, 1 Si 2.55
Si: 0.2058 0.7500 0.7302  3 Ni 2.35-2.36, 1 Si 2.55
Si: 0.2942 0.2500 0.2302  3 Ni 2.35-2.36, 1 Si 2.55
Si: 0.3127 0.2500 0.8401  4 Ni 2.35-2.52, 1 Si 2.55
Si: 0.4101 0.7500 0.9987  4 Ni 2.27-2.41, 1 Si 2.50
Si: 0.4645 0.2500 0.2214  3 Ni 2.41-2.50, 3 Si 2.50-2.63
Si: 0.5355 0.7500 0.7786  3 Ni 2.41-2.50, 3 Si 2.50-2.63
Si: 0.5899 0.2500 0.0013  4 Ni 2.27-2.41, 1 Si 2.50
Si: 0.6873 0.7500 0.1599  4 Ni 2.35-2.52, 1 Si 2.55
Si: 0.7058 0.7500 0.7698  3 Ni 2.35-2.36, 1 Si 2.55
Si: 0.7942 0.2500 0.2698  3 Ni 2.35-2.36, 1 Si 2.55
Si: 0.8127 0.2500 0.6599  4 Ni 2.35-2.52, 1 Si 2.55
Si: 0.9101 0.7500 0.5013  4 Ni 2.27-2.41, 1 Si 2.50
Si: 0.9645 0.2500 0.2786  3 Ni 2.41-2.50, 3 Si 2.50-2.63
Ni: 0.0417 0.7500 0.3367  7 Si 2.39-2.50
Ni: 0.2266 0.2500 0.5511  7 Si 2.27-2.52
Ni: 0.2734 0.7500 0.0511  7 Si 2.27-2.52
Ni: 0.4583 0.2500 0.8367  7 Si 2.39-2.50
Ni: 0.5417 0.7500 0.1633  7 Si 2.39-2.50
Ni: 0.7266 0.2500 0.9489  7 Si 2.27-2.52
Ni: 0.7734 0.7500 0.4489  7 Si 2.27-2.52
Ni: 0.9583 0.2500 0.6633  7 Si 2.39-2.50

## Properties
- space group = Pnma, No. 62
- total magnetic moment (μB/atom) = 0.00
- raw total energy (eV per atom) = -5.93
- formation energy (no corrections) (eV/f.u.) = -3.48
- crystal system = orthorhombic

---

No. 4
## Co2SbMoH (PBE)

Data for an optimized crystal structure of Co2SbMoH.

Unit cell a=3.8561 b=3.8561 c=3.9539 alpha=90.00 beta=90.00 gamma=90.00
With the nearest neighbours (Å) after each atom.
Element x y z (fractional)
Co: 0.0000 0.5000 0.0000  2 H 1.93
Co: 0.5000 0.0000 0.0000  2 H 1.93
Sb: 0.0000 0.0000 0.5000  4 Mo 2.73, 8 Co 2.76
Mo: 0.5000 0.5000 0.5000  2 H 1.98
H: 0.5000 0.5000 0.0000  4 Co 1.93, 2 Mo 1.98

## Properties
- space group = P4/mmm, No. 123
- total magnetic moment (μB/atom) = 0.22
- raw total energy (eV per atom) = -6.37
- crystal system = tetragonal

---

No. 5
## TmH4Pd2Rh (PBE)

Data for an optimized crystal structure of TmH4Pd2Rh.

Unit cell a=5.4322 b=5.4250 c=4.3135 alpha=66.68 beta=66.50 gamma=46.82
With the nearest neighbours (Å) after each atom.
Element x y z (fractional)
Tm: 0.0000 0.0000 0.0000  4 H 2.28
H: 0.1637 0.5479 0.8363  1 Rh 1.75, 2 Pd 1.83
H: 0.4503 0.8364 0.1636  1 Rh 1.75, 2 Pd 1.83
H: 0.5479 0.1637 0.4521  1 Rh 1.75, 2 Pd 1.83
H: 0.8364 0.4503 0.5497  1 Rh 1.75, 2 Pd 1.83
Pd: 0.2502 0.2502 0.2498  4 H 1.83
Pd: 0.7502 0.7502 0.7498  4 H 1.83
Rh: 0.5001 0.5001 0.4999  4 H 1.75

## Properties
- space group = Fmm2, No. 42
- total magnetic moment (μB/atom) = 0.00
- raw total energy (eV per atom) = -4.88
- crystal system = orthorhombic

---

No. 6
## Mn2OsPt (PBE)

Data for an optimized crystal structure of Mn2OsPt.

Unit cell a=2.7046 b=2.7046 c=25.8802 alpha=90.00 beta=90.00 gamma=120.00
With the nearest neighbours (Å) after each atom.
Element x y z (fractional)
Mn: 0.0000 0.0000 0.0000  9 Mn 2.52-2.70, 3 Pt 2.70
Mn: 0.0000 0.0000 0.2568  9 Mn 2.52-2.70, 3 Os 2.54
Mn: 0.3333 0.6667 0.6667  9 Mn 2.52-2.70, 3 Pt 2.70
Mn: 0.3333 0.6667 0.9234  9 Mn 2.52-2.70, 3 Os 2.54
Mn: 0.6667 0.3333 0.3333  9 Mn 2.52-2.70, 3 Pt 2.70
Mn: 0.6667 0.3333 0.5901  9 Mn 2.52-2.70, 3 Os 2.54
Os: 0.0000 0.0000 0.5125  3 Mn 2.54, 6 Os 2.70
Os: 0.3333 0.6667 0.1791  3 Mn 2.54, 6 Os 2.70
Os: 0.6667 0.3333 0.8458  3 Mn 2.54, 6 Os 2.70
Pt: 0.0000 0.0000 0.7516  3 Mn 2.70, 6 Pt 2.70, 3 Os 2.89
Pt: 0.3333 0.6667 0.4183  3 Mn 2.70, 6 Pt 2.70, 3 Os 2.89
Pt: 0.6667 0.3333 0.0850  3 Mn 2.70, 6 Pt 2.70, 3 Os 2.89

## Properties
- space group = R3m, No. 160
- total magnetic moment (μB/atom) = 0.43
- raw total energy (eV per atom) = -8.84
- crystal system = trigonal

---

No. 7
## CsCaAs2N (PBE)

Data for an optimized crystal structure of CsCaAs2N.

Unit cell a=4.7176 b=4.7176 c=5.1363 alpha=90.00 beta=90.00 gamma=90.00
With the nearest neighbours (Å) after each atom.
Element x y z (fractional)
Cs: 0.0000 0.0000 0.0000  2 N 2.57
Ca: 0.5000 0.5000 0.0000  4 Cs 3.34, 8 As 3.49
As: 0.0000 0.5000 0.5000  2 N 2.36
As: 0.5000 0.0000 0.5000  2 N 2.36
N: 0.0000 0.0000 0.5000  4 As 2.36, 2 Cs 2.57

## Properties
- space group = P4/mmm, No. 123
- total magnetic moment (μB/atom) = 0.00
- raw total energy (eV per atom) = -3.64
- formation energy (no corrections) (eV/f.u.) = 2.30
- crystal system = tetragonal

---

No. 8
## Ce4YSe6 (PBE)

Data for an optimized crystal structure of Ce4YSe6.

Unit cell a=8.3425 b=8.3425 c=8.3425 alpha=90.80 beta=90.80 gamma=90.80
With the nearest neighbours (Å) after each atom.
Element x y z (fractional)
Ce: 0.1344 0.7500 0.3656  8 Se 3.03-3.28
Ce: 0.2500 0.2500 0.2500  6 Se 2.98
Ce: 0.2500 0.6344 0.8656  8 Se 3.03-3.28
Ce: 0.3656 0.1344 0.7500  8 Se 3.03-3.28
Ce: 0.6344 0.8656 0.2500  8 Se 3.03-3.28
Ce: 0.7500 0.3656 0.1344  8 Se 3.03-3.28
Ce: 0.7500 0.7500 0.7500  6 Se 2.98
Ce: 0.8656 0.2500 0.6344  8 Se 3.03-3.28
Y: 0.0000 0.0000 0.0000  6 Se 2.80
Y: 0.5000 0.5000 0.5000  6 Se 2.80
Se: 0.0603 0.9150 0.6813  1 Y 2.80, 2 Ce 2.98-3.03
Se: 0.0850 0.3187 0.9397  1 Y 2.80, 2 Ce 2.98-3.03
Se: 0.1813 0.4150 0.5603  1 Y 2.80, 2 Ce 2.98-3.03
Se: 0.3187 0.9397 0.0850  1 Y 2.80, 2 Ce 2.98-3.03
Se: 0.4150 0.5603 0.1813  1 Y 2.80, 2 Ce 2.98-3.03
Se: 0.4397 0.8187 0.5850  1 Y 2.80, 2 Ce 2.98-3.03
Se: 0.5603 0.1813 0.4150  1 Y 2.80, 2 Ce 2.98-3.03
Se: 0.5850 0.4397 0.8187  1 Y 2.80, 2 Ce 2.98-3.03
Se: 0.6813 0.0603 0.9150  1 Y 2.80, 2 Ce 2.98-3.03
Se: 0.8187 0.5850 0.4397  1 Y 2.80, 2 Ce 2.98-3.03
Se: 0.9150 0.6813 0.0603  1 Y 2.80, 2 Ce 2.98-3.03
Se: 0.9397 0.0850 0.3187  1 Y 2.80, 2 Ce 2.98-3.03

## Properties
- space group = R-3c, No. 167
- total magnetic moment (μB/atom) = 0.50
- raw total energy (eV per atom) = -6.35
- formation energy (no corrections) (eV/f.u.) = -18.78
- crystal system = trigonal

---

No. 9
## CrInRhN2 (PBE)

Data for an optimized crystal structure of CrInRhN2.

Unit cell a=3.6786 b=3.6786 c=5.6464 alpha=90.00 beta=90.00 gamma=90.00
With the nearest neighbours (Å) after each atom.
Element x y z (fractional)
Cr: 0.0000 0.0000 0.0000  4 N 1.84
In: 0.0000 0.0000 0.5000  4 Rh 2.60, 2 Cr 2.82
Rh: 0.5000 0.5000 0.5000  4 In 2.60
N: 0.0000 0.5000 0.0000  2 Cr 1.84
N: 0.5000 0.0000 0.0000  2 Cr 1.84

## Properties
- space group = P4/mmm, No. 123
- total magnetic moment (μB/atom) = 0.00
- raw total energy (eV per atom) = -6.45
- formation energy (no corrections) (eV/f.u.) = 4.13
- crystal system = tetragonal

---

No. 10
## ZnPPb2 (PBE)

Data for an optimized crystal structure of ZnPPb2.

Unit cell a=3.7195 b=5.3933 c=9.6913 alpha=90.00 beta=90.00 gamma=90.00
With the nearest neighbours (Å) after each atom.
Element x y z (fractional)
Zn: 0.0000 0.0000 0.0000  2 P 2.41
Zn: 0.5000 0.5000 0.5000  2 P 2.41
P: 0.0000 0.5000 0.3416  2 Zn 2.41
P: 0.5000 0.0000 0.8416  2 Zn 2.41
Pb: 0.0000 0.0000 0.5865  2 P 3.09, 4 Pb 3.31-3.46, 4 Zn 3.38
Pb: 0.0000 0.5000 0.7852  4 Pb 3.31-3.46, 4 P 3.32, 4 Zn 3.33-3.41
Pb: 0.5000 0.0000 0.2852  4 Pb 3.31-3.46, 4 P 3.32, 4 Zn 3.33-3.41
Pb: 0.5000 0.5000 0.0865  2 P 3.09, 4 Pb 3.31-3.46, 4 Zn 3.38

## Properties
- space group = Imm2, No. 44
- total magnetic moment (μB/atom) = 0.00
- energy above the lowest structure with this stoichiometry (meV per atom) = 96
- raw total energy (eV per atom) = -3.35
- crystal system = orthorhombic